(1)
# SmTlCl

Crystalline SmTlCl at its relaxed geometry (PBE, Alexandria via LeMat-Bulk).

Structure (extended XYZ):
```
6
Lattice="4.033 0.000 0.000 0.000 6.167 0.000 0.000 3.083 8.875" Properties=species:S:1:pos:R:3 pbc="T T T"
Sm 3.025 3.083 1.746
Sm 1.008 6.167 7.130
Tl 3.025 6.167 1.216
Tl 1.008 3.083 7.659
Cl 3.025 6.167 5.345
Cl 1.008 3.083 3.530
```

Computed properties:
DOS(E_F) (states/eV/f.u.): 1.54
Raw formation energy (eV/atom): -0.7689
Size of the total moment (μB per atom): 0.00
DFT total energy (eV per atom): -3.746
Symmetry: No. 63


(2)
# SmTl2Cl6

Crystalline SmTl2Cl6 at its relaxed geometry (PBE, Alexandria via LeMat-Bulk).

Structure (extended XYZ):
```
9
Lattice="-3.805 1.137 -1.384 0.527 -5.379 -5.866 -3.190 -2.092 7.055" Properties=species:S:1:pos:R:3 pbc="T T T"
Sm -1.377 -4.805 -6.552
Cl -2.027 -5.685 0.903
Cl -2.918 -2.289 -0.248
Cl -1.577 -2.761 -4.323
Cl -3.876 -0.734 3.663
Cl -0.763 -0.501 1.686
Cl 0.126 -1.286 -1.403
Tl -1.952 -3.181 2.755
Tl -0.713 -4.276 -1.552
```

Computed properties:
DOS(E_F) (states/eV/f.u.): 7.60
Raw formation energy (eV/atom): -1.4053
Size of the total moment (μB per atom): 0.00
DFT total energy (eV per atom): -3.687
Symmetry: No. 38


(3)
# Sm2TlCl

Crystalline Sm2TlCl at its relaxed geometry (PBE, Alexandria via LeMat-Bulk).

Structure (extended XYZ):
```
4
Lattice="-3.215 1.013 1.021 -1.389 -1.538 -2.848 -0.881 -7.075 4.250" Properties=species:S:1:pos:R:3 pbc="T T T"
Sm -0.666 -5.349 3.213
Sm -0.215 -1.726 1.037
Tl -2.743 -3.800 1.211
Cl -2.302 -0.262 -0.914
```

Computed properties:
DOS(E_F) (states/eV/f.u.): 3.65
Offset from the most stable computed form (meV/atom): 68
Raw formation energy (eV/atom): -0.7582
Size of the total moment (μB per atom): 0.00
DFT total energy (eV per atom): -4.171
Symmetry: No. 123


(4)
# Sm3TlCl

Crystalline Sm3TlCl at its relaxed geometry (PBE, Alexandria via LeMat-Bulk).

Structure (extended XYZ):
```
5
Lattice="-1.346 -2.654 -4.354 -2.380 -3.656 2.964 -4.510 2.721 -0.265" Properties=species:S:1:pos:R:3 pbc="T T T"
Sm -0.673 -1.327 -2.177
Sm -1.190 -1.828 1.482
Sm -2.255 1.361 -0.132
Cl 0.000 0.000 0.000
Tl -4.118 -1.794 -0.827
```

Computed properties:
DOS(E_F) (states/eV/f.u.): 3.18
Raw formation energy (eV/atom): -0.5387
Size of the total moment (μB per atom): 0.00
DFT total energy (eV per atom): -4.213
Symmetry: No. 221


(5)
# Sm2TlCl

Crystalline Sm2TlCl at its relaxed geometry (PBE, Alexandria via LeMat-Bulk).

Structure (extended XYZ):
```
4
Lattice="-2.612 1.851 1.874 -0.455 -0.601 3.632 5.019 7.062 3.691" Properties=species:S:1:pos:R:3 pbc="T T T"
Sm 0.372 1.950 2.263
Sm 1.581 6.362 6.933
Cl 0.000 0.000 0.000
Tl 0.976 4.156 4.598
```

Computed properties:
DOS(E_F) (states/eV/f.u.): 2.08
Offset from the most stable computed form (meV/atom): 14
Raw formation energy (eV/atom): -0.8121
Size of the total moment (μB per atom): 0.00
DFT total energy (eV per atom): -4.225
Symmetry: No. 166


(6)
# Sm2TlCl

Crystalline Sm2TlCl at its relaxed geometry (PBE, Alexandria via LeMat-Bulk).

Structure (extended XYZ):
```
4
Lattice="-0.606 -2.355 -2.763 1.995 -3.082 -0.263 -5.760 -6.282 4.166" Properties=species:S:1:pos:R:3 pbc="T T T"
Cl -2.186 -5.860 0.571
Tl 0.924 -3.626 -2.016
Sm -1.219 -3.020 0.390
Sm -4.076 -5.072 2.766
```

Computed properties:
DOS(E_F) (states/eV/f.u.): 2.72
Offset from the most stable computed form (meV/atom): 0
Raw formation energy (eV/atom): -0.8257
Size of the total moment (μB per atom): 0.00
DFT total energy (eV per atom): -4.239
Symmetry: No. 160


(7)
# Sm2Tl5Cl12

Crystalline Sm2Tl5Cl12 at its relaxed geometry (PBE, Alexandria via LeMat-Bulk).

Structure (extended XYZ):
```
19
Lattice="-5.937 -0.434 4.628 -0.176 -9.207 2.388 3.946 -2.416 8.312" Properties=species:S:1:pos:R:3 pbc="T T T"
Cl -4.181 -7.101 5.959
Cl -0.781 -5.328 3.430
Cl -1.384 -6.728 11.898
Cl -2.982 -5.885 8.821
Cl -1.649 -2.930 9.597
Cl -0.517 -9.126 5.731
Cl -2.987 -9.367 9.595
Cl 2.378 -10.807 10.733
Cl 0.816 -6.172 6.507
Cl -4.544 -1.250 4.595
Cl 0.821 -2.689 5.733
Cl 2.015 -4.956 9.369
Tl -2.968 -0.217 2.314
Tl 0.911 -2.832 2.612
Tl -1.667 -4.327 6.120
Tl -3.077 -9.225 12.716
Tl -0.498 -7.730 9.208
Sm 2.906 -4.130 6.816
Sm 0.865 -7.492 3.883
```

Computed properties:
DOS(E_F) (states/eV/f.u.): 6.43
Raw formation energy (eV/atom): -1.4794
Size of the total moment (μB per atom): 0.02
DFT total energy (eV per atom): -3.765
Symmetry: No. 12


(8)
# SmTl3Cl6

Crystalline SmTl3Cl6 at its relaxed geometry (PBE, Alexandria via LeMat-Bulk).

Structure (extended XYZ):
```
20
Lattice="7.563 0.000 0.212 0.000 8.261 0.000 0.212 0.000 10.981" Properties=species:S:1:pos:R:3 pbc="T T T"
Cl 4.828 3.610 3.099
Cl 5.509 1.388 10.634
Cl 6.533 6.011 10.293
Cl 6.153 5.518 6.155
Cl 2.947 4.650 8.093
Cl 5.130 1.880 6.496
Cl 6.622 7.740 2.709
Cl 1.153 0.520 8.483
Cl 1.622 2.742 5.038
Cl 2.266 6.873 0.559
Cl 2.645 6.380 4.696
Cl 1.242 2.250 0.900
Tl 7.530 3.558 8.275
Tl 3.643 0.572 2.679
Tl 3.781 4.130 0.106
Tl 0.245 4.702 2.917
Tl 0.106 0.000 5.490
Tl 4.132 7.689 8.514
Sm 0.000 0.000 0.000
Sm 3.888 4.130 5.596
```

Computed properties:
DOS(E_F) (states/eV/f.u.): 0.00
Raw formation energy (eV/atom): -1.5492
Size of the total moment (μB per atom): 0.00
DFT total energy (eV per atom): -3.839
Symmetry: No. 14


(9)
# SmTmCl

Crystalline SmTmCl at its relaxed geometry (PBE, Alexandria via LeMat-Bulk).

Structure (extended XYZ):
```
3
Lattice="3.669 0.000 0.000 -1.835 3.178 0.000 0.000 0.000 7.065" Properties=species:S:1:pos:R:3 pbc="T T T"
Sm 1.835 1.059 2.484
Cl 0.000 2.118 4.775
Tm 0.000 0.000 6.871
```

Computed properties:
DOS(E_F) (states/eV/f.u.): 3.39
Raw formation energy (eV/atom): -0.8959
Size of the total moment (μB per atom): 0.12
DFT total energy (eV per atom): -4.575
Symmetry: No. 156


(10)
# SmTm2Cl

Crystalline SmTm2Cl at its relaxed geometry (PBE, Alexandria via LeMat-Bulk).

Structure (extended XYZ):
```
4
Lattice="3.414 0.000 0.000 1.707 2.956 0.000 1.707 0.985 11.089" Properties=species:S:1:pos:R:3 pbc="T T T"
Tm 1.707 0.985 7.743
Tm 5.120 2.956 3.346
Sm 0.000 0.000 0.000
Cl 3.414 1.971 5.545
```

Computed properties:
DOS(E_F) (states/eV/f.u.): 7.02
Raw formation energy (eV/atom): -0.3345
Size of the total moment (μB per atom): 0.00
DFT total energy (eV per atom): -4.212
Symmetry: No. 166


(11)
# SmTmCl6

Crystalline SmTmCl6 at its relaxed geometry (PBE, Alexandria via LeMat-Bulk).

Structure (extended XYZ):
```
8
Lattice="-4.244 -2.912 -4.404 2.238 -4.866 -4.148 -2.113 -6.832 1.345" Properties=species:S:1:pos:R:3 pbc="T T T"
Cl 0.360 -6.811 -4.472
Cl -4.479 -7.799 -2.735
Cl -2.511 -4.737 -3.364
Cl -1.609 -9.873 -3.844
Cl -2.967 -7.249 -6.059
Cl -1.153 -7.360 -1.148
Tm -2.060 -7.305 -3.604
Sm 0.000 0.000 0.000
```

Computed properties:
DOS(E_F) (states/eV/f.u.): 0.00
Raw formation energy (eV/atom): -2.2451
Size of the total moment (μB per atom): 0.00
DFT total energy (eV per atom): -4.779
Symmetry: No. 148


(12)
# SmVCl2

Crystalline SmVCl2 at its relaxed geometry (PBE, Alexandria via LeMat-Bulk).

Structure (extended XYZ):
```
4
Lattice="-0.397 0.509 3.198 -2.859 -0.680 1.418 1.728 -8.384 3.214" Properties=species:S:1:pos:R:3 pbc="T T T"
Cl 0.819 -5.694 2.673
Cl -2.347 -2.862 5.158
Sm 0.000 0.000 0.000
V -0.764 -4.278 3.915
```

Computed properties:
DOS(E_F) (states/eV/f.u.): 3.43
Raw formation energy (eV/atom): -0.4934
Size of the total moment (μB per atom): 0.01
DFT total energy (eV per atom): -4.876
Symmetry: No. 166